{
  "formula": "Tb7Pm12Dy",
  "functional": "PBE",
  "state": "relaxed",
  "lattice": [[6.084, 0.000, -1.252], [-3.170, 9.811, -5.131], [0.256, 0.000, 11.514]],
  "species": ["Pm", "Pm", "Tb", "Tb", "Pm", "Tb", "Pm", "Pm", "Tb", "Pm", "Pm", "Pm", "Pm", "Tb", "Tb", "Dy", "Tb", "Pm", "Pm", "Pm"],
  "fractional_positions": [[0.941, 0.355, 0.354], [0.912, 0.825, 0.412], [0.126, 0.999, 0.754], [0.628, 0.754, 0.755], [0.087, 0.587, 0.175], [0.127, 0.755, 0.001], [0.587, 0.646, 0.001], [0.059, 0.645, 0.646], [0.874, 0.001, 0.246], [0.414, 0.001, 0.355], [0.413, 0.354, 0.999], [0.586, 0.999, 0.645], [0.500, 0.412, 0.587], [0.873, 0.245, 0.999], [0.372, 0.246, 0.245], [0.000, 0.000, 0.000], [0.500, 0.000, 0.000], [0.913, 0.413, 0.825], [0.500, 0.588, 0.413], [0.088, 0.175, 0.588]],
  "polymorph_energy_mev_per_atom": 0,
  "formation_enthalpy_0k_ev_per_atom": 0.2413,
  "spacegroup": "No. 148"
}